Entry 1:
! KHo2N PBE optimized geometry; values from VASP
&SYSTEM
  ibrav = 0, nat = 4, ntyp = 3
/
ATOMIC_SPECIES
K 39.10 K.upf
Ho 164.93 Ho.upf
N 14.01 N.upf
ATOMIC_POSITIONS angstrom
K 0.0000 0.0000 0.0000
Ho 1.7583 1.0152 6.3760
Ho 5.2749 3.0455 3.7560
N 3.5166 2.0303 5.0660
CELL_PARAMETERS angstrom
3.5166 0.0000 0.0000
1.7583 3.0455 0.0000
1.7583 1.0152 10.1320
! - spin magnetization (μB per atom) = 0.26
! - DFT total energy (eV/atom) = -5.215
! - raw formation energy (eV per atom) = -0.5702
! - DOS at the Fermi energy (states/eV/atom) = 0.869
! - symmetry = No. 166
! - crystal system = trigonal

***

Entry 2:
! KHoN PBE optimized geometry; values from VASP
&SYSTEM
  ibrav = 0, nat = 6, ntyp = 3
/
ATOMIC_SPECIES
N 14.01 N.upf
Ho 164.93 Ho.upf
K 39.10 K.upf
ATOMIC_POSITIONS angstrom
N -0.0882 -2.4651 0.6845
N 6.7748 -0.2916 1.7598
Ho 12.2964 1.7123 4.5428
Ho 5.8009 -2.1459 2.5588
K 1.6298 -0.5597 2.3217
K 9.2530 -2.0353 1.4185
CELL_PARAMETERS angstrom
-0.9983 1.8206 3.0033
0.1305 -3.6487 0.0348
13.8676 0.5593 2.1048
! - spin magnetization (μB per atom) = 0.00
! - DFT total energy (eV/atom) = -5.346
! - raw formation energy (eV per atom) = -0.6794
! - DOS at the Fermi energy (states/eV/atom) = 0.286
! - symmetry = No. 8
! - crystal system = monoclinic